{"formula": "SrTc2Ir", "functional": "PBE-GGA", "state": "optimized geometry", "cell": [[-2.1133, -1.9011, 5.3191], [-1.7936, -5.6574, 1.0721], [4.1506, 4.1344, -1.4325]], "species": ["Sr", "Tc", "Tc", "Ir"], "frac_coords": [[0.2500, 0.7500, 0.5000], [0.5372, 0.5372, 0.0000], [0.9628, 0.9628, 0.0000], [0.7500, 0.2500, 0.5000]], "formation_energy_ev_per_atom": 0.535, "dft_energy_ev_per_atom": -7.284, "spacegroup": "Immm (71)", "e_above_lowest_polymorph_mev_per_atom": 154.4}